Entry from Alexandria: a relaxed structure of PmSmNi2P2 (PBE).

Geometry as extended XYZ:
```
6
Lattice="-2.850 -1.803 2.036 0.018 -0.169 -3.936 4.441 -6.673 0.306" Properties=species:S:1:pos:R:3 pbc="T T T"
Pm 2.221 -3.337 0.153
Sm 0.000 0.000 0.000
Ni -0.787 -2.921 0.122
Ni 2.397 -5.724 -1.715
P 1.444 -6.274 0.275
P 0.165 -2.371 -1.869
```

Properties
E_form in eV/f.u.: -7.1
SG: P-3m1
Total DFT energy (no corrections) in hartree per atom: -0.239

***

Entry from Alexandria: a relaxed structure of PmNi4SnP2 (PBE).

Geometry as extended XYZ:
```
8
Lattice="-3.435 1.923 0.104 -1.814 -3.160 -1.492 -1.307 -2.734 7.383" Properties=species:S:1:pos:R:3 pbc="T T T"
Pm -0.653 -1.367 3.691
Ni -1.186 -2.163 0.828
Ni -2.746 -1.190 5.861
Ni -1.996 0.378 1.626
Ni -1.935 -3.731 5.063
Sn 0.000 0.000 0.000
P -3.079 -1.569 1.873
P -3.477 -2.402 4.123
```

Properties
E_form in eV/f.u.: -5.0
SG: P4/mmm
Total DFT energy (no corrections) in hartree per atom: -0.219